## Rb6H (PBE)

Data for Rb6H after structural relaxation.

Results
Electronic total energy, eV for the cell shown: -36.5

Cell lengths 8.3974, 14.5067, 15.8619 Å; angles 90.00, 90.00, 90.00 degrees
Closest atoms and distances in Å follow each position.
Atoms (fractional coordinates):
Rb  0.7930  0.2500  0.4977  1 H 3.17
Rb  0.2070  0.7500  0.5023  1 H 3.17
Rb  0.2930  0.7500  0.0023  1 H 3.17
Rb  0.7070  0.2500  0.9977  1 H 3.17
Rb  0.3905  0.2500  0.7393  1 H 3.14
Rb  0.6095  0.7500  0.2607  1 H 3.14
Rb  0.8905  0.7500  0.7607  1 H 3.14
Rb  0.1095  0.2500  0.2393  1 H 3.14
Rb  0.2575  0.4051  0.5098  1 H 3.20
Rb  0.7425  0.5949  0.4902  1 H 3.20
Rb  0.7575  0.5949  0.9902  1 H 3.20
Rb  0.7425  0.9051  0.4902  1 H 3.20
Rb  0.2425  0.4051  0.0098  1 H 3.20
Rb  0.2575  0.0949  0.5098  1 H 3.20
Rb  0.2425  0.0949  0.0098  1 H 3.20
Rb  0.7575  0.9051  0.9902  1 H 3.20
Rb  0.9281  0.4042  0.7346  1 H 3.16
Rb  0.0719  0.5958  0.2654  1 H 3.16
Rb  0.4281  0.5958  0.7654  1 H 3.16
Rb  0.0719  0.9042  0.2654  1 H 3.16
Rb  0.5719  0.4042  0.2346  1 H 3.16
Rb  0.9281  0.0958  0.7346  1 H 3.16
Rb  0.5719  0.0958  0.2346  1 H 3.16
Rb  0.4281  0.9042  0.7654  1 H 3.16
H  0.0889  0.2500  0.6222  6 Rb 3.14-3.20
H  0.9111  0.7500  0.3778  6 Rb 3.14-3.20
H  0.5889  0.7500  0.8778  6 Rb 3.14-3.20
H  0.4111  0.2500  0.1222  6 Rb 3.14-3.20